# 1
This record from the Alexandria database describes a geometry-optimized MgTlSb2 structure. The functional is PBE.

Values from the calculation:
As for the crystal system: cubic. The energy above the most stable polymorph in this dataset is 0.157 eV per atom. The value obtained for the formation energy from raw total energies is 0.0782 eV/atom.

Unit cell a=7.586 b=7.586 c=7.586 alpha=90.00 beta=90.00 gamma=90.00
Space group F-43m (No. 216)
Inequivalent atoms, fractional coordinates:
Mg  0.000  0.000  0.000 [4 per cell]
Tl  0.250  0.250  0.750 [4 per cell]
Sb  0.000  0.000  0.500 [4 per cell]
Sb  0.250  0.250  0.250 [4 per cell]

# 2
This record from the Alexandria database describes a geometry-optimized MgTlSb2 structure. The functional is PBE.

Values from the calculation:
As for the crystal system: orthorhombic. The energy above the most stable polymorph in this dataset is 0.095 eV per atom. The value obtained for the formation energy from raw total energies is 0.0153 eV/atom.

Unit cell a=6.638 b=9.934 c=3.310 alpha=90.00 beta=90.00 gamma=90.00
Space group Cmmm (No. 65)
Inequivalent atoms, fractional coordinates:
Mg  0.000  0.000  0.000 [2 per cell]
Tl  0.000  0.500  0.000 [2 per cell]
Sb  0.250  0.250  0.500 [4 per cell]

# 3
This record from the Alexandria database describes a geometry-optimized MgTlSb2 structure. The functional is PBE.

Values from the calculation:
As for the crystal system: tetragonal. The energy above the most stable polymorph in this dataset is 0.141 eV per atom. The value obtained for the formation energy from raw total energies is 0.0615 eV/atom.

Unit cell a=4.774 b=4.774 c=9.542 alpha=90.00 beta=90.00 gamma=90.00
Space group I-4m2 (No. 119)
Inequivalent atoms, fractional coordinates:
Mg  0.000  0.000  0.000 [2 per cell]
Tl  0.000  0.500  0.250 [2 per cell]
Sb  0.000  0.000  0.500 [2 per cell]
Sb  0.000  0.500  0.750 [2 per cell]

# 4
This record from the Alexandria database describes a geometry-optimized Mg2Tl2Sb structure. The functional is PBE.

Values from the calculation:
As for the crystal system: tetragonal. The energy above the most stable polymorph in this dataset is 0.107 eV per atom. The value obtained for the formation energy from raw total energies is 0.0532 eV/atom.

Unit cell a=8.626 b=8.626 c=3.506 alpha=90.00 beta=90.00 gamma=90.00
Space group P4/mbm (No. 127)
Inequivalent atoms, fractional coordinates:
Mg  0.156  0.344  0.000 [4 per cell]
Tl  0.143  0.643  0.500 [4 per cell]
Sb  0.000  0.000  0.500 [2 per cell]

# 5
This record from the Alexandria database describes a geometry-optimized MgTlSb2 structure. The functional is PBE.

Values from the calculation:
As for the crystal system: trigonal. The energy above the most stable polymorph in this dataset is 0.094 eV per atom. The value obtained for the formation energy from raw total energies is 0.0151 eV/atom.

Unit cell a=4.6426 b=4.6426 c=19.0634 alpha=90.00 beta=90.00 gamma=120.00
Space group R3m (No. 160, hexagonal axes)
Inequivalent atoms, fractional coordinates:
Mg  0.0000  0.0000  0.0000 [3 per cell]
Tl  0.0000  0.0000  0.1706 [3 per cell]
Sb  0.0000  0.0000  0.4041 [3 per cell]
Sb  0.0000  0.0000  0.5988 [3 per cell]

# 6
This record from the Alexandria database describes a geometry-optimized MgTlSb3 structure. The functional is PBE.

Values from the calculation:
As for the crystal system: cubic. The energy above the most stable polymorph in this dataset is 0.000 eV per atom. The value obtained for the formation energy from raw total energies is 0.3868 eV/atom.

Unit cell a=5.478 b=5.478 c=5.478 alpha=90.00 beta=90.00 gamma=90.00
Space group Pm-3m (No. 221)
Inequivalent atoms, fractional coordinates:
Mg  0.000  0.000  0.000 [1 per cell]
Tl  0.500  0.500  0.500 [1 per cell]
Sb  0.000  0.000  0.500 [3 per cell]

# 7
This record from the Alexandria database describes a geometry-optimized MgTlSb2 structure. The functional is PBE.

Values from the calculation:
As for the crystal system: tetragonal. The energy above the most stable polymorph in this dataset is 0.157 eV per atom. The value obtained for the formation energy from raw total energies is 0.0783 eV/atom.

Unit cell a=6.744 b=6.744 c=12.884 alpha=90.00 beta=90.00 gamma=90.00
Space group I-42d (No. 122)
Inequivalent atoms, fractional coordinates:
Mg  0.000  0.000  0.000 [4 per cell]
Tl  0.000  0.000  0.500 [4 per cell]
Sb  0.241  0.250  0.125 [8 per cell]

# 8
This record from the Alexandria database describes a geometry-optimized Mg2TlSb2 structure. The functional is PBE.

Values from the calculation:
As for the crystal system: tetragonal. The value obtained for the formation energy from raw total energies is -0.2033 eV/atom.

Unit cell a=4.789 b=4.789 c=12.912 alpha=90.00 beta=90.00 gamma=90.00
Space group I4/mmm (No. 139)
Inequivalent atoms, fractional coordinates:
Mg  0.000  0.500  0.250 [4 per cell]
Tl  0.000  0.000  0.000 [2 per cell]
Sb  0.000  0.000  0.378 [4 per cell]

# 9
This record from the Alexandria database describes a geometry-optimized MgTlSb2 structure. The functional is PBE.

Values from the calculation:
As for the crystal system: monoclinic. The energy above the most stable polymorph in this dataset is 0.027 eV per atom. The value obtained for the formation energy from raw total energies is -0.0525 eV/atom.

Unit cell a=9.310 b=4.045 c=6.563 alpha=90.00 beta=104.83 gamma=90.00
Space group C2/m (No. 12)
Inequivalent atoms, fractional coordinates:
Mg  0.000  0.000  0.000 [2 per cell]
Tl  0.000  0.500  0.500 [2 per cell]
Sb  0.238  0.500  0.181 [4 per cell]

# 10
This record from the Alexandria database describes a geometry-optimized MgTl3Sb structure. The functional is PBE.

Values from the calculation:
As for the crystal system: cubic. The value obtained for the formation energy from raw total energies is 0.3247 eV/atom.

Unit cell a=5.504 b=5.504 c=5.504 alpha=90.00 beta=90.00 gamma=90.00
Space group Pm-3m (No. 221)
Inequivalent atoms, fractional coordinates:
Mg  0.000  0.000  0.000 [1 per cell]
Tl  0.000  0.000  0.500 [3 per cell]
Sb  0.500  0.500  0.500 [1 per cell]

# 11
This record from the Alexandria database describes a geometry-optimized MgTlSb structure. The functional is PBE.

Values from the calculation:
As for the crystal system: hexagonal. The value obtained for the formation energy from raw total energies is -0.2033 eV/atom.

Unit cell a=5.0129 b=5.0129 c=7.8776 alpha=90.00 beta=90.00 gamma=120.00
Space group P6_3mc (No. 186)
Inequivalent atoms, fractional coordinates:
Mg  0.3333  0.6667  0.0000 [2 per cell]
Tl  0.0000  0.0000  0.1881 [2 per cell]
Sb  0.3333  0.6667  0.3963 [2 per cell]

# 12
This record from the Alexandria database describes a geometry-optimized MgTlSb2 structure. The functional is PBE.

Values from the calculation:
As for the crystal system: tetragonal. The energy above the most stable polymorph in this dataset is 0.161 eV per atom. The value obtained for the formation energy from raw total energies is 0.0814 eV/atom.

Unit cell a=3.288 b=3.288 c=10.000 alpha=90.00 beta=90.00 gamma=90.00
Space group P4mm (No. 99)
Inequivalent atoms, fractional coordinates:
Mg  0.000  0.000  0.000 [1 per cell]
Tl  0.500  0.500  0.762 [1 per cell]
Sb  0.000  0.000  0.505 [1 per cell]
Sb  0.500  0.500  0.206 [1 per cell]

Ordered total energy results: -47.57; -24.29; -23.92; -23.56; -36.44; -14.39; -47.57; -29.63; -24.83; -11.19; -17.39; -11.88; unit eV per cell.